[1]
The following is a DFT calculation (PBE-GGA) of crystalline TcMo2Ru at its relaxed geometry.

Structure (POSCAR):
```
TcMo2Ru
1.0
9.365 0.007 0.004
8.957 2.733 0.004
8.957 1.339 2.382
Tc Mo Ru
1 2 1
Direct
0.752 0.752 0.752
0.002 0.002 0.002
0.246 0.246 0.246
0.499 0.499 0.499
```

Calculated values
Formation enthalpy at 0 K in kJ/mol of formula units: 81

[2]
The following is a DFT calculation (PBE-GGA) of crystalline Na2HfI at its relaxed geometry.

Structure (POSCAR):
```
Na2HfI
1.0
-6.753 -5.386 -2.716
2.848 -6.441 5.691
-3.685 -4.809 3.605
Na I Hf
4 2 2
Direct
0.375 0.401 0.750
0.151 0.625 0.250
0.599 0.125 0.250
0.875 0.849 0.750
0.250 0.750 0.500
0.500 0.500 0.000
0.000 0.000 0.000
0.750 0.250 0.500
```

Calculated values
VASP energy in eV per atom: -3.0226

[3]
The following is a DFT calculation (PBE-GGA) of crystalline InMoRu2 at its relaxed geometry.

Structure (POSCAR):
```
InMoRu2
1.0
4.991 -0.049 0.137
4.109 2.833 0.137
1.117 0.342 4.506
Ru In Mo
2 1 1
Direct
0.745 0.745 0.727
0.993 0.993 0.046
0.499 0.499 0.535
0.263 0.263 0.191
```

Calculated values
Formation enthalpy at 0 K in kJ/mol of formula units: 71

no.,mass density (g/cm3)
1,10.70
2,4.82
3,10.69